# 1
Density functional theory data (GGA-PBE) for SmGa4Pt4 after structural relaxation.

Cell lengths 6.238, 6.238, 8.490 Å; angles 90.00, 90.00, 90.00 degrees
Space group P4_2/nmc (No. 137, origin choice 2)
Unique sites:
Sm: 0.250 0.750 0.250 [2 per cell]
Ga: 0.021 0.250 0.145 [8 per cell]
Pt: 0.027 0.250 0.446 [8 per cell]

***

# 2
Density functional theory data (GGA-PBE) for LiTb8Tc2 after structural relaxation.

Cell lengths 8.739, 12.967, 5.730 Å; angles 90.00, 105.11, 90.00 degrees
Space group Cm (No. 8)
Unique sites:
Li: 0.000 0.000 0.000 [2 per cell]
Tb: 0.001 0.245 0.001 [4 per cell]
Tb: 0.110 0.500 0.796 [2 per cell]
Tb: 0.200 0.132 0.584 [4 per cell]
Tb: 0.301 0.368 0.417 [4 per cell]
Tb: 0.390 0.000 0.205 [2 per cell]
Tc: 0.000 0.312 0.500 [4 per cell]

***

# 3
Density functional theory data (GGA-PBE) for FeRe2Rh after structural relaxation.

Cell lengths 4.559, 4.559, 2.728 Å; angles 90.00, 90.00, 90.00 degrees
Space group P4/mmm (No. 123)
Unique sites:
Fe: 0.000 0.000 0.000 [1 per cell]
Re: 0.000 0.500 0.500 [2 per cell]
Rh: 0.500 0.500 0.000 [1 per cell]

***

# 4
Density functional theory data (GGA-PBE) for Hf2MnFe after structural relaxation.

Cell lengths 3.145, 3.145, 6.308 Å; angles 90.00, 90.00, 90.00 degrees
Space group P4/mmm (No. 123)
Unique sites:
Hf: 0.000 0.000 0.249 [2 per cell]
Mn: 0.500 0.500 0.500 [1 per cell]
Fe: 0.500 0.500 0.000 [1 per cell]

***

no.,total DFT energy (no corrections) (eV per atom),ΔE_f (meV/atom)
1,-5.2731,-719
2,-5.3909,35
3,-9.8523,325
4,-9.6234,-239